A plane-wave DFT calculation with PBE with a Hubbard U was carried out for a relaxed Li2NiTeO4 crystal.

Cell lengths 6.219, 6.219, 6.225 Å; angles 119.98, 119.98, 88.12 degrees
Fractional coordinates of all 16 atoms:
Li 0.000 0.000 0.000
Li 0.000 0.000 0.500
Li 0.000 0.500 0.000
Li 0.500 0.000 0.500
Ni 0.500 0.500 0.000
Ni 0.500 0.500 0.500
Te 0.000 0.500 0.500
Te 0.500 0.000 0.000
O 0.249 0.751 0.000
O 0.249 0.751 0.500
O 0.269 0.271 0.520
O 0.271 0.269 0.020
O 0.729 0.731 0.980
O 0.731 0.729 0.480
O 0.751 0.249 0.000
O 0.751 0.249 0.500

Output
- V (Å³ per cell) = 173
- E_tot (eV/cell) = -79.5
- space-group type = C2/c